Record 1
VASP calculation (GGA-PBE) on an optimized crystal structure of V4SiW.

The space group is C2/m (No. 12) and the conventional cell measures 12.316, 6.328 and 4.804 Å, with angles of 90.00, 110.03 and 90.00 degrees. The distinct sites, in fractional coordinates, are V at (0.000, 0.187, 0.000), V at (0.140, 0.244, 0.612), V at (0.186, 0.500, 0.180), Si at (0.004, 0.500, 0.739) and W at (0.195, 0.000, 0.181).

As for the density of states at the Fermi level: 7.04 states/eV/f.u. The calculation puts the raw total energy at -9.037 eV/atom. As for the formation energy without anion corrections: 0.105 eV/atom.

Record 2
VASP calculation (GGA-PBE) on an optimized crystal structure of SrTc2SnBi.

The space group is P4/mmm (No. 123) and the conventional cell measures 5.126, 5.126 and 6.004 Å, with angles of 90.00, 90.00 and 90.00 degrees. The distinct sites, in fractional coordinates, are Sr at (0.000, 0.000, 0.000), Tc at (0.000, 0.500, 0.500), Sn at (0.500, 0.500, 0.000) and Bi at (0.000, 0.000, 0.500).

As for the density of states at the Fermi level: 6.05 states/eV/f.u. The calculation puts the raw total energy at -4.704 eV/atom.